Entry from Alexandria: a crystal of Y2BeCo relaxed with PBEsol (meta-GGA SCAN).

Unit cell a=3.8199 b=3.7941 c=10.7765 alpha=90.00 beta=90.00 gamma=90.00
Last column: nearest neighbours and their distance in Å.
Space group Amm2 (No. 38)
Inequivalent atoms, fractional coordinates:
Y1 0.0000 0.0000 0.0000 [2 per cell]  2 Be 2.81, 4 Co 2.86
Y2 0.5000 0.0000 0.2760 [2 per cell]  2 Co 2.77, 4 Be 2.84
Be1 0.0000 0.0000 0.6919 [2 per cell]  2 Co 2.21
Co1 0.5000 0.0000 0.5888 [2 per cell]  2 Be 2.21

Energy: -19.412 eV per atom
Formation enthalpy at 0 K: -0.3 eV/f.u.
Total magnetization: 0.004 μB per atom